An optimized crystal structure of PuThSn2, computed with PBE.

a = 3.4677 Å, b = 3.4677 Å, c = 9.1120 Å
α = 90.00°, β = 90.00°, γ = 90.00°
Fractional coordinates of all 4 atoms:
Pu  0.0000  0.0000  0.0000
Th  0.0000  0.0000  0.5000
Sn  0.5000  0.5000  0.2440
Sn  0.5000  0.5000  0.7560

Calculated values
Its formation energy from the elements is -0.445 eV per atom. As for the uncorrected energy: -31.5 eV/cell. The volume is 27.393 Å³ per atom.

---

An optimized crystal structure of K2Li2CdF6, computed with PBE.

a = 5.9476 Å, b = 5.9476 Å, c = 6.4149 Å
α = 112.93°, β = 112.93°, γ = 60.96°
Fractional coordinates of all 11 atoms:
K  0.2093  0.2093  0.1644
K  0.7907  0.7907  0.8356
Li  0.4348  0.4348  0.7409
Li  0.5652  0.5652  0.2591
Cd  0.0000  0.0000  0.5000
F  0.2081  0.7003  0.2110
F  0.2402  0.2402  0.6062
F  0.2997  0.7919  0.7890
F  0.7003  0.2081  0.2110
F  0.7598  0.7598  0.3938
F  0.7919  0.2997  0.7890

Calculated values
As for the formation energy (no corrections): -2.636 eV/atom. As for the uncorrected energy: -47.2 eV/cell. The volume is 16.089 Å³ per atom.

---

An optimized crystal structure of GaAgAsBr2, computed with PBE.

a = 5.5448 Å, b = 5.5448 Å, c = 5.0451 Å
α = 90.00°, β = 90.00°, γ = 90.00°
Fractional coordinates of all 5 atoms:
Ga  0.0000  0.0000  0.0000
Ag  0.5000  0.5000  0.5000
As  0.5000  0.5000  0.0000
Br  0.0000  0.5000  0.5000
Br  0.5000  0.0000  0.5000

Calculated values
As for the formation energy (no corrections): 0.216 eV/atom. As for the uncorrected energy: -12.8 eV/cell. The volume is 31.022 Å³ per atom.

---

An optimized crystal structure of Sc3Be, computed with PBE.

a = 5.8688 Å, b = 5.8688 Å, c = 5.8688 Å
α = 146.91°, β = 132.43°, γ = 59.17°
Fractional coordinates of all 4 atoms:
Sc  0.0000  0.0000  0.0000
Sc  0.2912  0.7912  0.5000
Sc  0.7088  0.2088  0.5000
Be  0.5000  0.5000  0.0000

Calculated values
Its formation energy from the elements is 0.023 eV per atom. As for the uncorrected energy: -22.6 eV/cell. The volume is 20.187 Å³ per atom.

---

An optimized crystal structure of GePbSe2N, computed with PBE.

a = 5.3668 Å, b = 5.3668 Å, c = 3.6410 Å
α = 90.00°, β = 90.00°, γ = 90.00°
Fractional coordinates of all 5 atoms:
Ge  0.0000  0.0000  0.0000
Pb  0.5000  0.5000  0.5000
Se  0.0000  0.5000  0.0000
Se  0.5000  0.0000  0.0000
N  0.0000  0.0000  0.5000

Calculated values
As for the formation energy (no corrections): 0.360 eV/atom. As for the uncorrected energy: -21.8 eV/cell. The volume is 20.974 Å³ per atom.

---

An optimized crystal structure of MgAl2Cu2, computed with PBE.

a = 6.2239 Å, b = 6.2239 Å, c = 6.2239 Å
α = 144.10°, β = 144.10°, γ = 51.67°
Fractional coordinates of all 5 atoms:
Mg  0.0000  0.0000  0.0000
Al  0.2500  0.7500  0.5000
Al  0.7500  0.2500  0.5000
Cu  0.3927  0.3927  0.0000
Cu  0.6073  0.6073  0.0000

Calculated values
Its formation energy from the elements is -0.067 eV per atom. As for the uncorrected energy: -17.6 eV/cell. The volume is 16.485 Å³ per atom.

---

An optimized crystal structure of CeEuZnIn, computed with PBE.

a = 5.3993 Å, b = 5.3993 Å, c = 5.3993 Å
α = 60.00°, β = 60.00°, γ = 60.00°
Fractional coordinates of all 4 atoms:
Ce  0.0000  0.0000  0.0000
Eu  0.5000  0.5000  0.5000
Zn  0.2500  0.2500  0.2500
In  0.7500  0.7500  0.7500

Calculated values
Its formation energy from the elements is -0.271 eV per atom. As for the uncorrected energy: -21.3 eV/cell. The volume is 27.825 Å³ per atom.

---

An optimized crystal structure of Ba2SrBi3Pd4, computed with PBE.

a = 4.9456 Å, b = 4.9456 Å, c = 11.5414 Å
α = 90.00°, β = 90.00°, γ = 90.00°
Fractional coordinates of all 10 atoms:
Ba  0.0000  0.5000  0.2240
Ba  0.5000  0.0000  0.7760
Sr  0.0000  0.0000  0.5000
Bi  0.0000  0.5000  0.8822
Bi  0.5000  0.0000  0.1178
Bi  0.5000  0.5000  0.5000
Pd  0.0000  0.0000  0.0000
Pd  0.0000  0.5000  0.6439
Pd  0.5000  0.0000  0.3561
Pd  0.5000  0.5000  0.0000

Calculated values
Its formation energy from the elements is -0.665 eV per atom. As for the uncorrected energy: -44.6 eV/cell. The volume is 28.230 Å³ per atom.

---

An optimized crystal structure of SrCrAg2Cl8, computed with PBE.

a = 6.5778 Å, b = 6.8547 Å, c = 7.9369 Å
α = 90.12°, β = 90.21°, γ = 112.94°
Fractional coordinates of all 12 atoms:
Sr  0.0000  0.0000  0.0000
Cr  0.0000  0.0000  0.5000
Ag  0.9998  0.5005  0.2487
Ag  0.0002  0.4995  0.7513
Cl  0.1886  0.7708  0.5000
Cl  0.2390  0.7226  0.0000
Cl  0.2436  0.2151  0.2956
Cl  0.2441  0.2147  0.7068
Cl  0.7559  0.7853  0.2932
Cl  0.7564  0.7849  0.7044
Cl  0.7610  0.2774  0.0000
Cl  0.8114  0.2292  0.5000

Calculated values
As for the formation energy (no corrections): -1.125 eV/atom. As for the uncorrected energy: -45.3 eV/cell. The volume is 27.464 Å³ per atom.

---

An optimized crystal structure of HoMg2Pb, computed with PBE.

a = 4.8869 Å, b = 6.2496 Å, c = 6.6938 Å
α = 90.00°, β = 90.00°, γ = 90.00°
Fractional coordinates of all 8 atoms:
Ho  0.2500  0.2500  0.1101
Ho  0.7500  0.7500  0.8899
Mg  0.2500  0.5052  0.6325
Mg  0.2500  0.9948  0.6325
Mg  0.7500  0.0052  0.3675
Mg  0.7500  0.4948  0.3675
Pb  0.2500  0.7500  0.1873
Pb  0.7500  0.2500  0.8127

Calculated values
Its formation energy from the elements is -0.194 eV per atom. As for the uncorrected energy: -24.5 eV/cell. The volume is 25.554 Å³ per atom.

---

An optimized crystal structure of NaSrEuCd, computed with PBE.

a = 5.8757 Å, b = 5.8757 Å, c = 5.8757 Å
α = 60.00°, β = 60.00°, γ = 60.00°
Fractional coordinates of all 4 atoms:
Na  0.0000  0.0000  0.0000
Sr  0.7500  0.7500  0.7500
Eu  0.2500  0.2500  0.2500
Cd  0.5000  0.5000  0.5000

Calculated values
Its formation energy from the elements is -0.114 eV per atom. As for the uncorrected energy: -14.6 eV/cell. The volume is 35.860 Å³ per atom.

---

An optimized crystal structure of CsYTl2, computed with PBE.

a = 11.4148 Å, b = 11.4148 Å, c = 11.4148 Å
α = 19.49°, β = 19.49°, γ = 19.49°
Fractional coordinates of all 4 atoms:
Cs  0.0000  0.0000  0.0000
Y  0.5000  0.5000  0.5000
Tl  0.2383  0.2383  0.2383
Tl  0.7617  0.7617  0.7617

Calculated values
Its formation energy from the elements is -0.017 eV per atom. As for the uncorrected energy: -12.1 eV/cell. The volume is 36.179 Å³ per atom.

---

An optimized crystal structure of Zr2VOsN, computed with PBE.

a = 4.5531 Å, b = 4.5531 Å, c = 3.7451 Å
α = 90.00°, β = 90.00°, γ = 90.00°
Fractional coordinates of all 5 atoms:
Zr  0.0000  0.5000  0.0000
Zr  0.5000  0.0000  0.0000
V  0.0000  0.0000  0.5000
Os  0.5000  0.5000  0.5000
N  0.0000  0.0000  0.0000

Calculated values
As for the formation energy (no corrections): -0.725 eV/atom. As for the uncorrected energy: -49.4 eV/cell. The volume is 15.528 Å³ per atom.

---

An optimized crystal structure of Ho12Ni6Pd, computed with PBE.

a = 8.2810 Å, b = 8.2810 Å, c = 8.2810 Å
α = 109.47°, β = 109.47°, γ = 109.47°
Fractional coordinates of all 19 atoms:
Ho  0.1151  0.8147  0.3004
Ho  0.1853  0.3004  0.4857
Ho  0.1853  0.6996  0.8849
Ho  0.3004  0.1151  0.8147
Ho  0.3004  0.4857  0.1853
Ho  0.4857  0.1853  0.3004
Ho  0.5143  0.8147  0.6996
Ho  0.6996  0.5143  0.8147
Ho  0.6996  0.8849  0.1853
Ho  0.8147  0.3004  0.1151
Ho  0.8147  0.6996  0.5143
Ho  0.8849  0.1853  0.6996
Ni  0.1261  0.6261  0.5000
Ni  0.3739  0.5000  0.8739
Ni  0.5000  0.1261  0.6261
Ni  0.5000  0.8739  0.3739
Ni  0.6261  0.5000  0.1261
Ni  0.8739  0.3739  0.5000
Pd  0.0000  0.0000  0.0000

Calculated values
Its formation energy from the elements is -0.372 eV per atom. As for the uncorrected energy: -101.9 eV/cell. The volume is 23.008 Å³ per atom.

---

An optimized crystal structure of PmErPb2, computed with PBE.

a = 5.0556 Å, b = 5.0556 Å, c = 4.4943 Å
α = 90.00°, β = 90.00°, γ = 90.00°
Fractional coordinates of all 4 atoms:
Pm  0.0000  0.0000  0.0000
Er  0.5000  0.5000  0.0000
Pb  0.0000  0.5000  0.5000
Pb  0.5000  0.0000  0.5000

Calculated values
Its formation energy from the elements is -0.446 eV per atom. As for the uncorrected energy: -18.5 eV/cell. The volume is 28.717 Å³ per atom.

---

An optimized crystal structure of Zn2NiTe, computed with PBE.

a = 3.7960 Å, b = 3.6966 Å, c = 5.4630 Å
α = 90.00°, β = 108.37°, γ = 90.00°
Fractional coordinates of all 4 atoms:
Zn  0.0000  0.0000  0.0000
Zn  0.5000  0.5000  0.0000
Ni  0.0000  0.0000  0.5000
Te  0.5000  0.5000  0.5000

Calculated values
As for the formation energy (no corrections): 0.136 eV/atom. As for the uncorrected energy: -10.9 eV/cell. The volume is 18.188 Å³ per atom.

---

An optimized crystal structure of CdH8Ir2Pb, computed with PBE.

a = 6.6096 Å, b = 6.6096 Å, c = 6.6096 Å
α = 44.65°, β = 44.65°, γ = 44.65°
Fractional coordinates of all 12 atoms:
Cd  0.0000  0.0000  0.0000
H  0.0999  0.4594  0.5916
H  0.2082  0.2082  0.2082
H  0.4084  0.9001  0.5406
H  0.4594  0.5916  0.0999
H  0.5406  0.4084  0.9001
H  0.5916  0.0999  0.4594
H  0.7918  0.7918  0.7918
H  0.9001  0.5406  0.4084
Ir  0.3017  0.3017  0.3017
Ir  0.6983  0.6983  0.6983
Pb  0.5000  0.5000  0.5000

Calculated values
As for the uncorrected energy: -47.0 eV/cell. The volume is 10.809 Å³ per atom.

---

An optimized crystal structure of CaCdOs, computed with PBE.

a = 4.6900 Å, b = 4.6900 Å, c = 4.6900 Å
α = 60.00°, β = 60.00°, γ = 60.00°
Fractional coordinates of all 3 atoms:
Ca  0.0000  0.0000  0.0000
Cd  0.5000  0.5000  0.5000
Os  0.2500  0.2500  0.2500

Calculated values
Its formation energy from the elements is 0.794 eV per atom. As for the uncorrected energy: -11.8 eV/cell. The volume is 24.315 Å³ per atom.

---

An optimized crystal structure of PmCdSe2O8, computed with PBE.

a = 6.1643 Å, b = 6.1643 Å, c = 6.1643 Å
α = 106.03°, β = 106.03°, γ = 116.60°
Fractional coordinates of all 12 atoms:
Pm  0.0000  0.0000  0.0000
Cd  0.7500  0.2500  0.5000
Se  0.2500  0.7500  0.5000
Se  0.5000  0.5000  0.0000
O  0.0677  0.3873  0.3197
O  0.0677  0.7480  0.6803
O  0.1570  0.3312  0.8258
O  0.2520  0.9323  0.3197
O  0.5054  0.3312  0.1742
O  0.6127  0.9323  0.6803
O  0.6688  0.4946  0.8258
O  0.6688  0.8430  0.1742

Calculated values
As for the formation energy (no corrections): -1.285 eV/atom. As for the uncorrected energy: -67.7 eV/cell. The volume is 14.849 Å³ per atom.

---

An optimized crystal structure of Pa2Be4CuPt3, computed with PBE.

a = 3.9907 Å, b = 3.9907 Å, c = 9.4915 Å
α = 90.00°, β = 90.00°, γ = 90.00°
Fractional coordinates of all 10 atoms:
Pa  0.0000  0.5000  0.2478
Pa  0.5000  0.0000  0.7522
Be  0.0000  0.0000  0.0000
Be  0.0000  0.5000  0.6236
Be  0.5000  0.0000  0.3764
Be  0.5000  0.5000  0.0000
Cu  0.0000  0.0000  0.5000
Pt  0.0000  0.5000  0.8691
Pt  0.5000  0.0000  0.1309
Pt  0.5000  0.5000  0.5000

Calculated values
Its formation energy from the elements is -0.590 eV per atom. As for the uncorrected energy: -62.0 eV/cell. The volume is 15.116 Å³ per atom.

---

An optimized crystal structure of HRhS2, computed with PBE.

a = 4.1035 Å, b = 4.1035 Å, c = 4.1035 Å
α = 60.00°, β = 60.00°, γ = 60.00°
Fractional coordinates of all 4 atoms:
H  0.0000  0.0000  0.0000
Rh  0.5000  0.5000  0.5000
S  0.2500  0.2500  0.2500
S  0.7500  0.7500  0.7500

Calculated values
As for the uncorrected energy: -17.3 eV/cell. The volume is 12.215 Å³ per atom.

---

An optimized crystal structure of Nd4Tm7In, computed with PBE.

a = 6.7080 Å, b = 6.7080 Å, c = 12.7099 Å
α = 114.06°, β = 114.06°, γ = 51.60°
Fractional coordinates of all 12 atoms:
Nd  0.0729  0.0729  0.3138
Nd  0.3770  0.3770  0.2224
Nd  0.6230  0.6230  0.7776
Nd  0.9271  0.9271  0.6862
Tm  0.0000  0.0000  0.0000
Tm  0.2093  0.2093  0.6581
Tm  0.2282  0.2282  0.9257
Tm  0.3674  0.3674  0.5040
Tm  0.6326  0.6326  0.4960
Tm  0.7718  0.7718  0.0743
Tm  0.7907  0.7907  0.3419
In  0.5000  0.5000  0.0000

Calculated values
Its formation energy from the elements is 0.207 eV per atom. As for the uncorrected energy: -50.6 eV/cell. The volume is 33.301 Å³ per atom.

---

An optimized crystal structure of NdHoSc4, computed with PBE.

a = 6.3052 Å, b = 6.3052 Å, c = 6.3052 Å
α = 60.00°, β = 60.00°, γ = 60.00°
Fractional coordinates of all 6 atoms:
Nd  0.0000  0.0000  0.0000
Ho  0.7500  0.7500  0.7500
Sc  0.3749  0.3749  0.3749
Sc  0.3749  0.3749  0.8752
Sc  0.3749  0.8752  0.3749
Sc  0.8752  0.3749  0.3749

Calculated values
Its formation energy from the elements is 0.232 eV per atom. As for the uncorrected energy: -33.3 eV/cell. The volume is 29.541 Å³ per atom.

---

An optimized crystal structure of LaNd5Er2, computed with PBE.

a = 9.0023 Å, b = 9.0023 Å, c = 9.0023 Å
α = 156.84°, β = 101.47°, γ = 83.21°
Fractional coordinates of all 8 atoms:
La  0.0000  0.0000  0.0000
Nd  0.1380  0.3672  0.7708
Nd  0.4035  0.6328  0.7708
Nd  0.5000  0.0000  0.5000
Nd  0.5965  0.3672  0.2292
Nd  0.8620  0.6328  0.2292
Er  0.2429  0.7429  0.5000
Er  0.7571  0.2571  0.5000

Calculated values
Its formation energy from the elements is 0.031 eV per atom. As for the uncorrected energy: -37.6 eV/cell. The volume is 34.659 Å³ per atom.

---

An optimized crystal structure of BaLiTcN3, computed with PBE.

a = 6.4457 Å, b = 6.4457 Å, c = 5.3239 Å
α = 94.25°, β = 94.25°, γ = 126.96°
Fractional coordinates of all 12 atoms:
Ba  0.2333  0.7667  0.7500
Ba  0.7667  0.2333  0.2500
Li  0.0403  0.9597  0.2500
Li  0.9597  0.0403  0.7500
Tc  0.4591  0.5409  0.2500
Tc  0.5409  0.4591  0.7500
N  0.2205  0.3077  0.5277
N  0.3010  0.6990  0.2500
N  0.3077  0.2205  0.0277
N  0.6923  0.7795  0.9723
N  0.6990  0.3010  0.7500
N  0.7795  0.6923  0.4723

Calculated values
As for the formation energy (no corrections): -0.421 eV/atom. As for the uncorrected energy: -83.4 eV/cell. The volume is 14.524 Å³ per atom.